## Rb2NaTl2 (PBE-GGA)

Data for a relaxed Rb2NaTl2 crystal.

Unit cell a=10.9839 b=10.9839 c=3.8367 alpha=90.00 beta=90.00 gamma=90.00
Atoms (fractional coordinates):
Rb: 0.1866 0.3134 0.0000
Rb: 0.3134 0.8134 0.0000
Rb: 0.6866 0.1866 0.0000
Rb: 0.8134 0.6866 0.0000
Na: 0.0000 0.0000 0.0000
Na: 0.5000 0.5000 0.0000
Tl: 0.1043 0.6043 0.5000
Tl: 0.3957 0.1043 0.5000
Tl: 0.6043 0.8957 0.5000
Tl: 0.8957 0.3957 0.5000

Properties
Calculated total energy (eV per atom): -1.502
Offset from the most stable computed form (meV/atom): 128
Symmetry: P4/mbm
M_tot (Bohr magnetons per cell): 0.00
Energy of formation (eV/atom): 0.096
D(E_F) (states/eV per cell): 12.963

## RbNa4Tl5 (PBE-GGA)

Data for a relaxed RbNa4Tl5 crystal.

Unit cell a=4.0127 b=4.0127 c=19.4109 alpha=90.00 beta=90.00 gamma=90.00
Atoms (fractional coordinates):
Rb: 0.0000 0.0000 0.0000
Na: 0.0000 0.0000 0.2249
Na: 0.0000 0.0000 0.4076
Na: 0.0000 0.0000 0.5924
Na: 0.0000 0.0000 0.7751
Tl: 0.5000 0.5000 0.1381
Tl: 0.5000 0.5000 0.3158
Tl: 0.5000 0.5000 0.5000
Tl: 0.5000 0.5000 0.6842
Tl: 0.5000 0.5000 0.8619

Properties
Calculated total energy (eV per atom): -1.879
Symmetry: P4/mmm
M_tot (Bohr magnetons per cell): 0.00
Energy of formation (eV/atom): -0.071
D(E_F) (states/eV per cell): 6.400

## Rb2NaTl2 (PBE-GGA)

Data for a relaxed Rb2NaTl2 crystal.

Unit cell a=9.9602 b=9.9602 c=9.9602 alpha=135.61 beta=87.06 gamma=109.68
Atoms (fractional coordinates):
Rb: 0.1544 0.1138 0.2682
Rb: 0.3456 0.6138 0.9593
Rb: 0.6544 0.3862 0.0407
Rb: 0.8456 0.8862 0.7318
Na: 0.2500 0.7500 0.5000
Na: 0.7500 0.2500 0.5000
Tl: 0.0798 0.6241 0.7039
Tl: 0.4202 0.1241 0.5443
Tl: 0.5798 0.8759 0.4557
Tl: 0.9202 0.3759 0.2961

Properties
Calculated total energy (eV per atom): -1.531
Offset from the most stable computed form (meV/atom): 98
Symmetry: Ibam
M_tot (Bohr magnetons per cell): 1.30
Energy of formation (eV/atom): 0.066
D(E_F) (states/eV per cell): 9.051

## RbNa2Tl (PBE-GGA)

Data for a relaxed RbNa2Tl crystal.

Unit cell a=6.9505 b=6.9505 c=6.9505 alpha=48.05 beta=48.05 gamma=48.05
Atoms (fractional coordinates):
Rb: 0.0000 0.0000 0.0000
Na: 0.2112 0.2112 0.2112
Na: 0.7888 0.7888 0.7888
Tl: 0.5000 0.5000 0.5000

Properties
Calculated total energy (eV per atom): -1.492
Offset from the most stable computed form (meV/atom): 45
Symmetry: R-3m
M_tot (Bohr magnetons per cell): 0.00
Energy of formation (eV/atom): 0.001
D(E_F) (states/eV per cell): 3.603

## RbNaTl2 (PBE-GGA)

Data for a relaxed RbNaTl2 crystal.

Unit cell a=7.3284 b=7.3284 c=7.3284 alpha=43.50 beta=43.50 gamma=43.50
Atoms (fractional coordinates):
Rb: 0.0000 0.0000 0.0000
Na: 0.5000 0.5000 0.5000
Tl: 0.1928 0.1928 0.1928
Tl: 0.8072 0.8072 0.8072

Properties
Calculated total energy (eV per atom): -1.822
Offset from the most stable computed form (meV/atom): 5
Symmetry: R-3m
M_tot (Bohr magnetons per cell): 0.00
Energy of formation (eV/atom): -0.067
D(E_F) (states/eV per cell): 2.156

## RbNaTl2Zn (PBE-GGA)

Data for a relaxed RbNaTl2Zn crystal.

Unit cell a=5.5075 b=5.5075 c=5.8367 alpha=90.00 beta=90.00 gamma=90.00
Atoms (fractional coordinates):
Rb: 0.0000 0.0000 0.0000
Na: 0.5000 0.5000 0.0000
Tl: 0.0000 0.5000 0.5000
Tl: 0.5000 0.0000 0.5000
Zn: 0.5000 0.5000 0.5000

Properties
Calculated total energy (eV per atom): -1.608
Symmetry: P4/mmm
M_tot (Bohr magnetons per cell): 0.00
Energy of formation (eV/atom): 0.051
D(E_F) (states/eV per cell): 3.335

## RbNa2ZrTl (PBE-GGA)

Data for a relaxed RbNa2ZrTl crystal.

Unit cell a=5.8903 b=5.8903 c=6.5064 alpha=90.00 beta=90.00 gamma=90.00
Atoms (fractional coordinates):
Rb: 0.0000 0.0000 0.0000
Na: 0.0000 0.5000 0.5000
Na: 0.5000 0.0000 0.5000
Zr: 0.5000 0.5000 0.0000
Tl: 0.0000 0.0000 0.5000

Properties
Calculated total energy (eV per atom): -1.911
Symmetry: P4/mmm
M_tot (Bohr magnetons per cell): 3.12
Energy of formation (eV/atom): 0.993
D(E_F) (states/eV per cell): 7.241

## RbNa2Tm (PBE-GGA)

Data for a relaxed RbNa2Tm crystal.

Unit cell a=14.6146 b=14.6146 c=14.6146 alpha=14.50 beta=14.50 gamma=14.50
Atoms (fractional coordinates):
Rb: 0.0000 0.0000 0.0000
Na: 0.4211 0.4211 0.4211
Na: 0.5789 0.5789 0.5789
Tm: 0.5000 0.5000 0.5000

Properties
Calculated total energy (eV per atom): -1.605
Symmetry: R-3m
M_tot (Bohr magnetons per cell): 0.02
Energy of formation (eV/atom): 0.415
D(E_F) (states/eV per cell): 3.728